Record 1
This record from Alexandria via LeMat-Bulk describes a relaxed structure of CsSeSCl2. The functional is PBEsol.

Output
DOS at the Fermi energy   8.588 states/eV/cell
Calculated total energy   -9.68 eV/cell
Crystal system   tetragonal

Unit cell a=6.0285 b=6.0285 c=6.8233 alpha=90.00 beta=90.00 gamma=90.00
Element x y z (fractional)
Cl 0.5000 0.0000 0.0000
Cs 0.0000 0.0000 0.0000
Se 0.0000 0.0000 0.5000
S 0.5000 0.5000 0.5000
Cl 0.0000 0.5000 0.0000

Record 2
This record from Alexandria via LeMat-Bulk describes a relaxed structure of SiAg2Pb. The functional is PBEsol.

Output
DOS at the Fermi energy   1.602 states/eV/cell
Calculated total energy   -15.12 eV/cell
Crystal system   orthorhombic

Unit cell a=3.0822 b=5.2403 c=5.7534 alpha=117.09 beta=105.54 gamma=90.00
Element x y z (fractional)
Ag 0.7202 0.7202 0.4405
Ag 0.2798 0.2798 0.5595
Pb 0.5000 0.0000 0.0000
Si 0.0000 0.5000 0.0000

Record 3
This record from Alexandria via LeMat-Bulk describes a relaxed structure of FeReRh. The functional is PBEsol.

Output
Formation energy from the elements   0.57 eV/atom
DOS at the Fermi energy   0.819 states/eV/cell
Crystal system   cubic

Unit cell a=3.9991 b=3.9991 c=3.9991 alpha=60.00 beta=60.00 gamma=60.00
Element x y z (fractional)
Re 0.2500 0.2500 0.2500
Rh 0.0000 0.0000 0.0000
Fe 0.5000 0.5000 0.5000

Record 4
This record from Alexandria via LeMat-Bulk describes a relaxed structure of Mg16Al12H. The functional is PBEsol.

Output
DOS at the Fermi energy   10.371 states/eV/cell
Calculated total energy   -79.29 eV/cell
Crystal system   monoclinic

Unit cell a=9.0028 b=9.0575 c=9.0298 alpha=109.59 beta=109.35 gamma=109.47
Element x y z (fractional)
Al 0.1724 0.8213 0.1887
Al 0.9837 0.6327 0.8113
Mg 0.2484 0.5533 0.0000
Al 0.6042 0.8049 0.0000
Al 0.7968 0.9861 0.6279
Al 0.3646 0.1821 0.3830
Mg 0.5838 0.9967 0.3216
Mg 0.6953 0.2850 0.7112
Al 0.1689 0.3582 0.3721
Mg 0.9796 0.9879 0.3412
Mg 0.7052 0.3955 0.4021
Mg 0.3880 0.7093 0.4046
Mg 0.3844 0.3952 0.7252
Al 0.1681 0.1689 0.8164
Al 0.6168 0.9915 0.8143
Al 0.8025 0.1772 0.1857
H 0.4778 0.5965 0.0000
Mg 0.6592 0.6700 0.2748
Mg 0.3031 0.9934 0.5979
Mg 0.3292 0.9882 0.0000
Mg 0.6384 0.6467 0.6588
Mg 0.5819 0.3052 0.0000
Al 0.8002 0.6353 0.0000
Al 0.9817 0.7991 0.6170
Al 0.3517 0.3525 0.1836
Mg 0.9833 0.3046 0.5954
Mg 0.2623 0.6752 0.6784
Mg 0.9845 0.0138 0.0000
Mg 0.9841 0.5738 0.2888

Record 5
This record from Alexandria via LeMat-Bulk describes a relaxed structure of KYO2F. The functional is PBEsol.

Output
DOS at the Fermi energy   1.678 states/eV/cell
Calculated total energy   -25.86 eV/cell
Crystal system   tetragonal

Unit cell a=4.2283 b=4.3146 c=4.3146 alpha=90.00 beta=90.00 gamma=90.00
Element x y z (fractional)
O 0.0000 0.0000 0.5000
O 0.0000 0.5000 0.0000
Y 0.5000 0.5000 0.5000
F 0.5000 0.0000 0.0000
K 0.0000 0.0000 0.0000

Record 6
This record from Alexandria via LeMat-Bulk describes a relaxed structure of BaCu3. The functional is PBEsol.

Output
Formation energy from the elements   0.01 eV/atom
DOS at the Fermi energy   2.044 states/eV/cell
Crystal system   trigonal

Unit cell a=4.1975 b=4.1975 c=5.9304 alpha=69.27 beta=69.27 gamma=60.00
Element x y z (fractional)
Cu 0.5000 0.5000 0.5000
Cu 0.1879 0.1879 0.4362
Ba 0.0000 0.0000 0.0000
Cu 0.8121 0.8121 0.5638

Record 7
This record from Alexandria via LeMat-Bulk describes a relaxed structure of MgTe4Ir. The functional is PBEsol.

Output
DOS at the Fermi energy   6.626 states/eV/cell
Calculated total energy   -19.73 eV/cell
Crystal system   cubic

Unit cell a=6.0473 b=6.0473 c=6.0473 alpha=60.00 beta=60.00 gamma=60.00
Element x y z (fractional)
Te 0.8720 0.3760 0.3760
Te 0.3760 0.3760 0.8720
Ir 0.7500 0.7500 0.7500
Te 0.3760 0.3760 0.3760
Mg 0.0000 0.0000 0.0000
Te 0.3760 0.8720 0.3760

Record 8
This record from Alexandria via LeMat-Bulk describes a relaxed structure of BeFeHg3. The functional is PBEsol.

Output
Formation energy from the elements   0.74 eV/atom
DOS at the Fermi energy   4.121 states/eV/cell
Crystal system   cubic

Unit cell a=4.5784 b=4.5784 c=4.5784 alpha=90.00 beta=90.00 gamma=90.00
Element x y z (fractional)
Hg 0.0000 0.5000 0.0000
Be 0.0000 0.0000 0.0000
Fe 0.5000 0.5000 0.5000
Hg 0.0000 0.0000 0.5000
Hg 0.5000 0.0000 0.0000

Record 9
This record from Alexandria via LeMat-Bulk describes a relaxed structure of CaTcN2. The functional is PBEsol.

Output
DOS at the Fermi energy   4.418 states/eV/cell
Calculated total energy   -65.55 eV/cell
Crystal system   tetragonal

Unit cell a=4.8544 b=4.8544 c=6.0048 alpha=113.84 beta=113.84 gamma=90.00
Element x y z (fractional)
N 0.2890 0.8750 0.2500
N 0.9610 0.3750 0.2500
Tc 0.2500 0.7500 0.5000
Ca 0.7500 0.2500 0.5000
Ca 0.5000 0.5000 0.0000
Tc 0.0000 0.0000 0.0000
N 0.1250 0.0390 0.7500
N 0.6250 0.7110 0.7500

Record 10
This record from Alexandria via LeMat-Bulk describes a relaxed structure of YMnSb2. The functional is PBEsol.

Output
DOS at the Fermi energy   3.141 states/eV/cell
Calculated total energy   -26.77 eV/cell
Crystal system   orthorhombic

Unit cell a=4.0388 b=4.7091 c=4.7091 alpha=89.66 beta=90.03 gamma=90.03
Element x y z (fractional)
Sb 0.0000 0.0000 0.5000
Sb 0.0000 0.5000 0.0000
Y 0.5000 0.5000 0.5000
Mn 0.5000 0.0000 0.0000

Record 11
This record from Alexandria via LeMat-Bulk describes a relaxed structure of CaSiBi2. The functional is PBEsol.

Output
DOS at the Fermi energy   1.013 states/eV/cell
Calculated total energy   -33.49 eV/cell
Crystal system   tetragonal

Unit cell a=6.8888 b=6.8888 c=6.8888 alpha=74.68 beta=68.41 gamma=111.59
Element x y z (fractional)
Si 0.5000 0.7500 0.7500
Ca 0.0000 0.0000 0.0000
Bi 0.5601 0.1250 0.8149
Bi 0.4399 0.6250 0.4351
Bi 0.0601 0.4351 0.1250
Bi 0.9399 0.8149 0.6250
Ca 0.5000 0.2500 0.2500
Si 0.0000 0.5000 0.5000

Record 12
This record from Alexandria via LeMat-Bulk describes a relaxed structure of SrPbO2. The functional is PBEsol.

Output
Calculated total energy   -46.56 eV/cell
Crystal system   tetragonal

Unit cell a=5.5074 b=5.5074 c=6.8872 alpha=113.57 beta=113.57 gamma=90.00
Element x y z (fractional)
O 0.1250 0.1269 0.7500
O 0.8731 0.3750 0.2500
O 0.6250 0.6231 0.7500
Pb 0.0000 0.0000 0.0000
Sr 0.7500 0.2500 0.5000
O 0.3769 0.8750 0.2500
Pb 0.2500 0.7500 0.5000
Sr 0.5000 0.5000 0.0000

no.,total magnetization (μB per formula unit)
1,5.038
2,0.000
3,0.000
4,0.000
5,0.662
6,0.000
7,0.000
8,3.391
9,0.000
10,3.887
11,0.000
12,0.000